ScMnPdO2 | PBE with a Hubbard U | relaxed

Properties
Calculated volume: 83.7 Å³/f.u.
Total energy: -5.60 eV/atom
Symmetry: P4/mmm, No. 123

a b c (Å): 4.187 4.187 4.773
angles (deg): 90.00 90.00 90.00
Element x y z (fractional)
Sc1 0.000 0.000 0.000
Mn1 0.500 0.500 0.000
Pd1 0.000 0.000 0.500
O1 0.000 0.500 0.500
O2 0.500 0.000 0.500